1.
Computed, not measured: crystalline CoAgBPt at its relaxed geometry at the GGA-PBE level of DFT.

**Total DFT energy (no corrections)**: -4.951 eV/atom

Cell: 4.1872 4.1872 4.1872 Å, 60.00 60.00 60.00°
With the nearest neighbours (Å) after each atom.
Fractional positions:
Co  0.7500  0.7500  0.7500  4 Ag 2.56, 4 B 2.56
Pt  0.2500  0.2500  0.2500  4 Ag 2.56, 4 B 2.56
B  0.0000  0.0000  0.0000  4 Pt 2.56, 4 Co 2.56
Ag  0.5000  0.5000  0.5000  4 Pt 2.56, 4 Co 2.56

2.
Computed, not measured: crystalline YCoAgB at its relaxed geometry at the GGA-PBE level of DFT.

**Total DFT energy (no corrections)**: -5.139 eV/atom

Cell: 4.4435 4.4435 4.4435 Å, 60.00 60.00 60.00°
With the nearest neighbours (Å) after each atom.
Fractional positions:
Ag  0.2500  0.2500  0.2500  4 Y 2.72, 4 B 2.72
B  0.0000  0.0000  0.0000  4 Co 2.72, 4 Ag 2.72
Co  0.7500  0.7500  0.7500  4 Y 2.72, 4 B 2.72
Y  0.5000  0.5000  0.5000  4 Ag 2.72, 4 Co 2.72

3.
Computed, not measured: crystalline YCoAgB at its relaxed geometry at the GGA-PBE level of DFT.

**Total DFT energy (no corrections)**: -5.281 eV/atom

Cell: 4.4726 4.4726 4.4726 Å, 60.00 60.00 60.00°
With the nearest neighbours (Å) after each atom.
Fractional positions:
Ag  0.5000  0.5000  0.5000  4 Co 2.74, 4 Y 2.74
Y  0.2500  0.2500  0.2500  4 B 2.74, 4 Ag 2.74
Co  0.7500  0.7500  0.7500  4 Ag 2.74, 4 B 2.74
B  0.0000  0.0000  0.0000  4 Y 2.74, 4 Co 2.74

4.
Computed, not measured: crystalline ZnCoAgB at its relaxed geometry at the GGA-PBE level of DFT.

**Total DFT energy (no corrections)**: -3.723 eV/atom

Cell: 4.1110 4.1110 4.1110 Å, 60.00 60.00 60.00°
With the nearest neighbours (Å) after each atom.
Fractional positions:
Co  0.7500  0.7500  0.7500  4 B 2.52, 4 Ag 2.52
Zn  0.2500  0.2500  0.2500  4 Ag 2.52, 4 B 2.52
B  0.0000  0.0000  0.0000  4 Co 2.52, 4 Zn 2.52
Ag  0.5000  0.5000  0.5000  4 Zn 2.52, 4 Co 2.52

5.
Computed, not measured: crystalline ZnCoAgB at its relaxed geometry at the GGA-PBE level of DFT.

**Total DFT energy (no corrections)**: -3.839 eV/atom

Cell: 4.0728 4.0728 4.0728 Å, 60.00 60.00 60.00°
With the nearest neighbours (Å) after each atom.
Fractional positions:
Co  0.7500  0.7500  0.7500  4 B 2.49, 4 Zn 2.49
Ag  0.2500  0.2500  0.2500  4 B 2.49, 4 Zn 2.49
B  0.0000  0.0000  0.0000  4 Co 2.49, 4 Ag 2.49
Zn  0.5000  0.5000  0.5000  4 Co 2.49, 4 Ag 2.49

6.
Computed, not measured: crystalline ZrCoAgB at its relaxed geometry at the GGA-PBE level of DFT.

**Total DFT energy (no corrections)**: -5.740 eV/atom

Cell: 4.3074 4.3074 4.3074 Å, 60.00 60.00 60.00°
With the nearest neighbours (Å) after each atom.
Fractional positions:
Co  0.7500  0.7500  0.7500  4 Zr 2.64, 4 B 2.64
Ag  0.2500  0.2500  0.2500  4 Zr 2.64, 4 B 2.64
Zr  0.5000  0.5000  0.5000  4 Ag 2.64, 4 Co 2.64
B  0.0000  0.0000  0.0000  4 Ag 2.64, 4 Co 2.64

7.
Computed, not measured: crystalline ZrCoAgB at its relaxed geometry at the GGA-PBE level of DFT.

**Total DFT energy (no corrections)**: -5.872 eV/atom

Cell: 4.3161 4.3161 4.3161 Å, 60.00 60.00 60.00°
With the nearest neighbours (Å) after each atom.
Fractional positions:
Ag  0.5000  0.5000  0.5000  4 Zr 2.64, 4 Co 2.64
Zr  0.2500  0.2500  0.2500  4 Ag 2.64, 4 B 2.64
B  0.0000  0.0000  0.0000  4 Co 2.64, 4 Zr 2.64
Co  0.7500  0.7500  0.7500  4 B 2.64, 4 Ag 2.64

8.
Computed, not measured: crystalline CsAgB4 at its relaxed geometry at the GGA-PBE level of DFT.

**Total DFT energy (no corrections)**: -4.379 eV/atom

Cell: 3.1698 3.1698 9.2199 Å, 90.00 90.00 120.00°
With the nearest neighbours (Å) after each atom.
Fractional positions:
B  0.3333  0.6667  0.7003  3 B 1.83
B  0.3333  0.6667  0.2997  3 B 1.83
B  0.6667  0.3333  0.7003  3 B 1.83
B  0.6667  0.3333  0.2997  3 B 1.83
Cs  0.0000  0.0000  0.0000  6 Cs 3.17, 12 B 3.31
Ag  0.0000  0.0000  0.5000  12 B 2.60